GGA-PBE Ag6TeI2Br2, relaxed; space-group type = C2/m (12); total magnetic moment = 0.00 μB per formula unit; energy relative to the elements, uncorrected = -0.12 eV per atom; VASP energy = -28.1 eV/f.u.
1.0
7.261 0.570 -0.299
-3.093 6.594 -0.299
-1.842 -3.167 7.453
Ag Te I Br
6 1 2 2
Direct
0.007 0.007 0.834 Ag
0.088 0.437 0.651 Ag
0.993 0.993 0.166 Ag
0.437 0.088 0.651 Ag
0.912 0.563 0.349 Ag
0.563 0.912 0.349 Ag
0.000 0.000 0.500 Te
0.790 0.210 0.000 I
0.210 0.790 0.000 I
0.350 0.650 0.500 Br
0.650 0.350 0.500 Br